[1]
A relaxed structure of CaCdP. Source: the Alexandria database, functional PBE.

## Properties
N(E_F)	0.35	states/eV/f.u.
ΔE to the lowest computed polymorph	0.0545	eV/atom
formation energy	-535	meV/atom

```
data_CaCdP
_chemical_formula_sum 'Ca4 Cd4 P4'
_symmetry_space_group_name_H-M 'P 1'
_symmetry_Int_Tables_number 1
_cell_length_a 5.255
_cell_length_b 5.702
_cell_length_c 9.920
_cell_angle_alpha 90.00
_cell_angle_beta 90.00
_cell_angle_gamma 90.00
loop_
_symmetry_equiv_pos_as_xyz
'x,y,z'
loop_
_atom_site_label
_atom_site_type_symbol
_atom_site_fract_x
_atom_site_fract_y
_atom_site_fract_z
P1 P 0.000 0.500 0.870
Cd1 Cd 0.000 0.259 0.263
Ca1 Ca 0.000 0.000 0.937
Cd2 Cd 0.500 0.241 0.737
Ca2 Ca 0.500 0.500 0.063
Ca3 Ca 0.000 0.500 0.573
Cd3 Cd 0.000 0.741 0.263
P2 P 0.500 0.500 0.513
P3 P 0.000 0.000 0.487
Ca4 Ca 0.500 0.000 0.427
P4 P 0.500 0.000 0.130
Cd4 Cd 0.500 0.759 0.737
```

[2]
A relaxed structure of Be2Te2Pb. Source: the Alexandria database, functional PBE.

## Properties
N(E_F)	3.38	states/eV/f.u.
formation energy without anion corrections	0.039	eV per atom
ΔE to the lowest computed polymorph	0.0000	eV/atom

```
data_Be2Te2Pb
_chemical_formula_sum 'Be2 Te2 Pb1'
_symmetry_space_group_name_H-M 'P 1'
_symmetry_Int_Tables_number 1
_cell_length_a 3.780
_cell_length_b 3.780
_cell_length_c 9.516
_cell_angle_alpha 78.54
_cell_angle_beta 78.54
_cell_angle_gamma 90.00
loop_
_symmetry_equiv_pos_as_xyz
'x,y,z'
loop_
_atom_site_label
_atom_site_type_symbol
_atom_site_fract_x
_atom_site_fract_y
_atom_site_fract_z
Te1 Te 0.338 0.338 0.324
Pb1 Pb 0.000 0.000 0.000
Te2 Te 0.662 0.662 0.676
Be1 Be 0.250 0.750 0.500
Be2 Be 0.750 0.250 0.500
```

[3]
A relaxed structure of Nd2CdI. Source: the Alexandria database, functional PBE.

## Properties
N(E_F)	4.94	states/eV/f.u.
formation energy without anion corrections	-0.162	eV per atom
ΔE to the lowest computed polymorph	0.3818	eV/atom

```
data_Nd2CdI
_chemical_formula_sum 'Nd2 Cd1 I1'
_symmetry_space_group_name_H-M 'P 1'
_symmetry_Int_Tables_number 1
_cell_length_a 3.700
_cell_length_b 3.700
_cell_length_c 11.877
_cell_angle_alpha 81.04
_cell_angle_beta 81.04
_cell_angle_gamma 60.00
loop_
_symmetry_equiv_pos_as_xyz
'x,y,z'
loop_
_atom_site_label
_atom_site_type_symbol
_atom_site_fract_x
_atom_site_fract_y
_atom_site_fract_z
I1 I 0.500 0.500 0.500
Nd1 Nd 0.906 0.906 0.281
Cd1 Cd 0.000 0.000 0.000
Nd2 Nd 0.094 0.094 0.719
```

[4]
A relaxed structure of Cu2Pt. Source: the Alexandria database, functional PBE.

## Properties
N(E_F)	1.68	states/eV/f.u.
ΔE to the lowest computed polymorph	0.0345	eV/atom
formation energy	-111	meV/atom

```
data_Cu2Pt
_chemical_formula_sum 'Cu8 Pt4'
_symmetry_space_group_name_H-M 'P 1'
_symmetry_Int_Tables_number 1
_cell_length_a 2.728
_cell_length_b 8.032
_cell_length_c 7.811
_cell_angle_alpha 69.85
_cell_angle_beta 90.00
_cell_angle_gamma 90.00
loop_
_symmetry_equiv_pos_as_xyz
'x,y,z'
loop_
_atom_site_label
_atom_site_type_symbol
_atom_site_fract_x
_atom_site_fract_y
_atom_site_fract_z
Pt1 Pt 0.500 0.931 0.748
Cu1 Cu 0.500 0.258 0.741
Cu2 Cu 0.000 0.497 0.496
Cu3 Cu 0.000 0.177 0.494
Cu4 Cu 0.500 0.083 0.251
Cu5 Cu 0.500 0.411 0.258
Pt2 Pt 0.000 0.664 0.010
Pt3 Pt 0.000 0.831 0.492
Pt4 Pt 0.000 0.325 0.001
Cu6 Cu 0.000 0.000 0.007
Cu7 Cu 0.500 0.579 0.747
Cu8 Cu 0.500 0.746 0.253
```

[5]
A relaxed structure of Tl12BiPb7. Source: the Alexandria database, functional PBE.

## Properties
N(E_F)	10.06	states/eV/f.u.
ΔE to the lowest computed polymorph	0.0579	eV/atom
formation energy	86	meV/atom

```
data_Tl12BiPb7
_chemical_formula_sum 'Tl12 Bi1 Pb7'
_symmetry_space_group_name_H-M 'P 1'
_symmetry_Int_Tables_number 1
_cell_length_a 6.904
_cell_length_b 10.856
_cell_length_c 10.856
_cell_angle_alpha 115.63
_cell_angle_beta 102.24
_cell_angle_gamma 102.24
loop_
_symmetry_equiv_pos_as_xyz
'x,y,z'
loop_
_atom_site_label
_atom_site_type_symbol
_atom_site_fract_x
_atom_site_fract_y
_atom_site_fract_z
Pb1 Pb 0.500 0.000 0.000
Tl1 Tl 0.546 0.937 0.629
Tl2 Tl 0.083 0.629 0.692
Tl3 Tl 0.917 0.371 0.308
Tl4 Tl 0.940 0.197 0.641
Pb2 Pb 0.097 0.955 0.705
Tl5 Tl 0.609 0.692 0.063
Bi1 Bi 0.000 0.000 0.000
Pb3 Pb 0.903 0.045 0.295
Tl6 Tl 0.060 0.803 0.359
Pb4 Pb 0.142 0.750 0.045
Tl7 Tl 0.701 0.641 0.444
Tl8 Tl 0.391 0.308 0.937
Pb5 Pb 0.609 0.705 0.750
Pb6 Pb 0.858 0.250 0.955
Tl9 Tl 0.743 0.444 0.803
Tl10 Tl 0.257 0.556 0.197
Pb7 Pb 0.391 0.295 0.250
Tl11 Tl 0.454 0.063 0.371
Tl12 Tl 0.299 0.359 0.556
```

[6]
A relaxed structure of CaY2Ta2. Source: the Alexandria database, functional PBE.

## Properties
N(E_F)	9.94	states/eV/f.u.
ΔE to the lowest computed polymorph	0.0243	eV/atom
formation energy	555	meV/atom

```
data_CaY2Ta2
_chemical_formula_sum 'Ca1 Y2 Ta2'
_symmetry_space_group_name_H-M 'P 1'
_symmetry_Int_Tables_number 1
_cell_length_a 3.855
_cell_length_b 3.855
_cell_length_c 10.928
_cell_angle_alpha 79.84
_cell_angle_beta 79.84
_cell_angle_gamma 90.00
loop_
_symmetry_equiv_pos_as_xyz
'x,y,z'
loop_
_atom_site_label
_atom_site_type_symbol
_atom_site_fract_x
_atom_site_fract_y
_atom_site_fract_z
Y1 Y 0.633 0.633 0.735
Ta1 Ta 0.750 0.250 0.500
Ta2 Ta 0.250 0.750 0.500
Ca1 Ca 0.000 0.000 0.000
Y2 Y 0.367 0.367 0.265
```

[7]
A relaxed structure of ZnSiAs2Br. Source: the Alexandria database, functional PBE.

## Properties
N(E_F)	4.25	states/eV/f.u.
formation energy without anion corrections	0.787	eV per atom
ΔE to the lowest computed polymorph	0.2132	eV/atom

```
data_ZnSiAs2Br
_chemical_formula_sum 'Zn1 Si1 As2 Br1'
_symmetry_space_group_name_H-M 'P 1'
_symmetry_Int_Tables_number 1
_cell_length_a 4.812
_cell_length_b 4.812
_cell_length_c 5.219
_cell_angle_alpha 90.00
_cell_angle_beta 90.00
_cell_angle_gamma 90.00
loop_
_symmetry_equiv_pos_as_xyz
'x,y,z'
loop_
_atom_site_label
_atom_site_type_symbol
_atom_site_fract_x
_atom_site_fract_y
_atom_site_fract_z
Zn1 Zn 0.000 0.000 0.000
Si1 Si 0.500 0.500 0.500
As1 As 0.500 0.000 0.000
Br1 Br 0.000 0.000 0.500
As2 As 0.000 0.500 0.000
```

[8]
A relaxed structure of Mg2GaAg7Sn2. Source: the Alexandria database, functional PBE.

## Properties
N(E_F)	3.36	states/eV/f.u.
formation energy	-31	meV/atom

```
data_Mg2GaAg7Sn2
_chemical_formula_sum 'Mg2 Ga1 Ag7 Sn2'
_symmetry_space_group_name_H-M 'P 1'
_symmetry_Int_Tables_number 1
_cell_length_a 4.320
_cell_length_b 4.320
_cell_length_c 14.203
_cell_angle_alpha 72.66
_cell_angle_beta 72.66
_cell_angle_gamma 92.00
loop_
_symmetry_equiv_pos_as_xyz
'x,y,z'
loop_
_atom_site_label
_atom_site_type_symbol
_atom_site_fract_x
_atom_site_fract_y
_atom_site_fract_z
Ag1 Ag 0.349 0.848 0.151
Ag2 Ag 0.758 0.758 0.500
Mg1 Mg 0.808 0.808 0.692
Ag3 Ag 0.500 0.500 0.000
Sn1 Sn 0.310 0.310 0.690
Ga1 Ga 0.000 0.000 0.000
Ag4 Ag 0.848 0.349 0.151
Ag5 Ag 0.242 0.242 0.500
Ag6 Ag 0.152 0.651 0.849
Mg2 Mg 0.192 0.192 0.308
Ag7 Ag 0.651 0.152 0.849
Sn2 Sn 0.690 0.690 0.310
```